Record 1
A plane-wave DFT calculation with GGA-PBE was carried out for a geometry-optimized La5CeBi6 structure.

Cell: 8.125 8.124 8.125 Å, 60.01 80.40 70.52°
Fractional coordinates of all 12 atoms:
La 0.000 0.666 0.668
Bi 0.247 0.589 0.329
La 0.000 0.334 0.332
Bi 0.752 0.754 0.000
Bi 0.753 0.082 0.329
Bi 0.248 0.246 0.000
La 0.500 0.832 0.336
La 0.500 0.500 0.000
La 0.500 0.168 0.664
Ce 0.000 0.000 0.000
Bi 0.753 0.411 0.671
Bi 0.247 0.918 0.671

Computed properties:
Its space group is No. 12. The calculation puts the total energy at -66.0 eV/cell. As for the formation energy: -1.015 eV per atom. The crystal system is monoclinic. For the calculated volume, the calculation gives 438 Å³ per cell.



Record 2
A plane-wave DFT calculation with GGA-PBE was carried out for a geometry-optimized LaCeBi2 structure.

Cell: 4.819 4.504 13.108 Å, 99.89 90.00 90.00°
Fractional coordinates of all 8 atoms:
Bi 0.750 0.688 0.376
Bi 0.250 0.312 0.624
Bi 0.750 0.942 0.883
Ce 0.250 0.186 0.372
Ce 0.750 0.814 0.628
La 0.750 0.561 0.122
La 0.250 0.439 0.878
Bi 0.250 0.058 0.117

Computed properties:
Its space group is No. 63. The calculation puts the total energy at -44.1 eV/cell. As for the formation energy: -0.853 eV per atom. The crystal system is orthorhombic. For the calculated volume, the calculation gives 280 Å³ per cell. As for the relative energy among the computed polymorphs: 72 meV/atom.



Record 3
A plane-wave DFT calculation with GGA-PBE was carried out for a geometry-optimized LaCeBi6 structure.

Cell: 5.089 5.089 9.607 Å, 90.00 90.00 90.00°
Fractional coordinates of all 8 atoms:
Bi 0.500 0.500 0.500
Ce 0.000 0.000 0.000
Bi 0.500 0.500 0.000
La 0.000 0.000 0.500
Bi 0.000 0.500 0.246
Bi 0.500 0.000 0.246
Bi 0.000 0.500 0.754
Bi 0.500 0.000 0.754

Computed properties:
Its space group is No. 123. The calculation puts the total energy at -38.2 eV/cell. As for the formation energy: -0.504 eV per atom. The crystal system is tetragonal. For the calculated volume, the calculation gives 249 Å³ per cell.



Record 4
A plane-wave DFT calculation with GGA-PBE was carried out for a geometry-optimized La5CeBi4 structure.

Cell: 4.502 9.269 9.901 Å, 117.72 103.14 90.00°
Fractional coordinates of all 10 atoms:
La 0.674 0.419 0.349
Bi 0.974 0.738 0.948
Bi 0.026 0.262 0.052
La 0.326 0.581 0.651
Bi 0.811 0.283 0.622
La 0.831 0.946 0.663
Ce 0.500 0.000 0.000
La 0.500 0.500 0.000
Bi 0.189 0.717 0.378
La 0.169 0.054 0.337

Computed properties:
Its space group is No. 12. The calculation puts the total energy at -52.7 eV/cell. As for the formation energy: -0.657 eV per atom. The crystal system is monoclinic. For the calculated volume, the calculation gives 354 Å³ per cell.



Record 5
A plane-wave DFT calculation with GGA-PBE was carried out for a geometry-optimized LaCe4Bi5 structure.

Cell: 4.625 6.542 12.241 Å, 105.50 100.89 90.00°
Fractional coordinates of all 10 atoms:
Ce 0.201 0.201 0.402
Bi 0.000 0.500 0.000
Bi 0.200 0.700 0.399
Bi 0.800 0.300 0.601
Ce 0.400 0.400 0.800
La 0.000 0.000 0.000
Bi 0.602 0.102 0.205
Bi 0.398 0.898 0.795
Ce 0.600 0.600 0.200
Ce 0.799 0.799 0.598

Computed properties:
Its space group is No. 71. The calculation puts the total energy at -56.5 eV/cell. As for the formation energy: -0.843 eV per atom. The crystal system is orthorhombic. For the calculated volume, the calculation gives 350 Å³ per cell.



Record 6
A plane-wave DFT calculation with GGA-PBE was carried out for a geometry-optimized LaCeBi2 structure.

Cell: 5.652 5.652 5.652 Å, 60.00 60.00 60.00°
Fractional coordinates of all 4 atoms:
Ce 0.000 0.000 0.000
La 0.500 0.500 0.500
Bi 0.250 0.250 0.250
Bi 0.750 0.750 0.750

Computed properties:
Its space group is No. 225. The calculation puts the total energy at -21.5 eV/cell. As for the formation energy: -0.727 eV per atom. The crystal system is cubic. For the calculated volume, the calculation gives 128 Å³ per cell. As for the relative energy among the computed polymorphs: 198 meV/atom.



Record 7
A plane-wave DFT calculation with GGA-PBE was carried out for a geometry-optimized LaCeBi2 structure.

Cell: 4.622 4.622 15.402 Å, 90.00 90.00 120.00°
Fractional coordinates of all 8 atoms:
Bi 0.667 0.333 0.619
La 0.667 0.333 0.250
Bi 0.333 0.667 0.119
La 0.333 0.667 0.750
Bi 0.667 0.333 0.881
Ce 0.000 0.000 0.500
Ce 0.000 0.000 0.000
Bi 0.333 0.667 0.381

Computed properties:
Its space group is No. 194. The calculation puts the total energy at -44.4 eV/cell. As for the formation energy: -0.888 eV per atom. The crystal system is hexagonal. For the calculated volume, the calculation gives 285 Å³ per cell. As for the relative energy among the computed polymorphs: 37 meV/atom.



Record 8
A plane-wave DFT calculation with GGA-PBE was carried out for a geometry-optimized LaCe2Bi structure.

Cell: 4.014 4.014 10.083 Å, 78.52 78.52 60.00°
Fractional coordinates of all 4 atoms:
Ce 0.108 0.108 0.677
La 0.500 0.500 0.500
Ce 0.892 0.892 0.323
Bi 0.000 0.000 0.000

Computed properties:
Its space group is No. 166. The calculation puts the total energy at -18.5 eV/cell. As for the formation energy: 0.549 eV per atom. The crystal system is trigonal. For the calculated volume, the calculation gives 137 Å³ per cell. As for the relative energy among the computed polymorphs: 952 meV/atom.



Record 9
A plane-wave DFT calculation with GGA-PBE was carried out for a geometry-optimized LaCeBi2 structure.

Cell: 3.997 3.997 7.979 Å, 90.00 90.00 90.00°
Fractional coordinates of all 4 atoms:
La 0.500 0.500 0.500
Ce 0.500 0.500 0.000
Bi 0.000 0.000 0.243
Bi 0.000 0.000 0.757

Computed properties:
Its space group is No. 123. The calculation puts the total energy at -21.6 eV/cell. As for the formation energy: -0.732 eV per atom. The crystal system is tetragonal. For the calculated volume, the calculation gives 127 Å³ per cell. As for the relative energy among the computed polymorphs: 193 meV/atom.



Record 10
A plane-wave DFT calculation with GGA-PBE was carried out for a geometry-optimized La2Ce2Bi5 structure.

Cell: 8.697 9.139 9.139 Å, 123.78 90.00 90.00°
Fractional coordinates of all 18 atoms:
Bi 0.654 0.302 0.013
La 0.156 0.653 0.653
Bi 0.154 0.198 0.487
Bi 0.846 0.513 0.802
La 0.344 0.153 0.153
Bi 0.346 0.987 0.698
Bi 0.846 0.802 0.513
Bi 0.000 0.000 0.000
Bi 0.154 0.487 0.198
Ce 0.500 0.694 0.306
Ce 0.500 0.306 0.694
Bi 0.500 0.500 0.500
Bi 0.654 0.013 0.302
Ce 0.000 0.194 0.806
La 0.844 0.347 0.347
Ce 0.000 0.806 0.194
Bi 0.346 0.698 0.987
La 0.656 0.847 0.847

Computed properties:
Its space group is No. 64. The calculation puts the total energy at -96.1 eV/cell. As for the formation energy: -0.771 eV per atom. The crystal system is orthorhombic. For the calculated volume, the calculation gives 604 Å³ per cell.



Record 11
A plane-wave DFT calculation with GGA-PBE was carried out for a geometry-optimized LaCe2Bi3 structure.

Cell: 4.638 6.562 8.037 Å, 114.09 106.77 90.00°
Fractional coordinates of all 6 atoms:
Ce 0.334 0.834 0.668
Ce 0.666 0.166 0.332
La 0.000 0.500 0.000
Bi 0.670 0.670 0.341
Bi 0.330 0.330 0.659
Bi 0.000 0.000 0.000

Computed properties:
Its space group is No. 71. The calculation puts the total energy at -33.7 eV/cell. As for the formation energy: -0.879 eV per atom. The crystal system is orthorhombic. For the calculated volume, the calculation gives 212 Å³ per cell.



Record 12
A plane-wave DFT calculation with GGA-PBE was carried out for a geometry-optimized LaCeBi2 structure.

Cell: 4.590 4.590 8.391 Å, 74.12 74.12 60.00°
Fractional coordinates of all 4 atoms:
Bi 0.080 0.080 0.760
La 0.498 0.498 0.507
Bi 0.253 0.253 0.240
Ce 0.669 0.669 0.993

Computed properties:
Its space group is No. 160. The calculation puts the total energy at -21.9 eV/cell. As for the formation energy: -0.820 eV per atom. The crystal system is trigonal. For the calculated volume, the calculation gives 145 Å³ per cell. As for the relative energy among the computed polymorphs: 105 meV/atom.



Q: Look up the calculated volume of the twelfth one.
A: 145 Å³ per cell



Q: Which value of calculated volume does entry 1 give?
A: 438 Å³ per cell